Below is CaTa2CrHg at its PBEsol-relaxed geometry, with properties calculated at the SCAN level.

Values from the calculation:
The volume is 94 Å³ per cell. The formation energy is 2596 meV per atom. The calculation puts the theoretical density at 11.6 Mg/m³.

Unit cell a=4.745 b=4.745 c=4.177 alpha=90.00 beta=90.00 gamma=90.00
Space group P4/mmm (No. 123)
Asymmetric unit:
Ca 0.000 0.000 0.000 (multiplicity 1)
Ta 0.000 0.500 0.000 (multiplicity 2)
Cr 0.000 0.000 0.500 (multiplicity 1)
Hg 0.500 0.500 0.500 (multiplicity 1)